No. 1
AlCuSi2 | PBE-GGA | optimized geometry

```
8
Lattice="-3.4205 2.2206 -0.6808 0.8766 -3.2393 -2.4151 -4.1757 -4.8871 5.0393" Properties=species:S:1:pos:R:3 pbc="T T T"
Al -3.0321 -0.8212 0.0009
Al -3.6875 -5.0847 1.9425
Cu -1.0439 -1.2218 1.2598
Cu -3.1318 -3.6653 3.7795
Si -4.4247 -2.4510 1.6815
Si -0.9044 -1.8274 -1.4162
Si -2.2949 -3.4549 0.2619
Si -5.8152 -4.0784 3.3596
```

* space-group type: P6_3/mmc (194)
* DOS at the Fermi energy: 3.20 states/eV per cell

***

No. 2
AlCu3Si3 | PBE-GGA | optimized geometry

```
14
Lattice="3.8614 0.0000 0.0000 0.0000 7.6202 0.0273 0.0000 3.7857 6.6135" Properties=species:S:1:pos:R:3 pbc="T T T"
Si 0.9654 6.9654 1.6704
Si 0.9654 10.3106 5.2534
Si 0.9654 5.5347 6.3599
Si 2.8961 4.4405 4.9703
Si 2.8961 1.0952 1.3874
Si 2.8961 5.8712 0.2808
Al 0.9654 3.8021 2.2147
Al 2.8961 7.6038 4.4260
Cu 0.9654 7.9640 5.9382
Cu 0.9654 6.1129 3.9850
Cu 0.9654 8.7327 3.3581
Cu 2.8961 3.4419 0.7025
Cu 2.8961 5.2929 2.6557
Cu 2.8961 2.6732 3.2827
```

* space-group type: P6_3/m (176)
* DOS at the Fermi energy: 3.66 states/eV per cell
* energy above the most stable polymorph in this dataset: 28 meV/atom

***

No. 3
Al2Cu3Si | PBE-GGA | optimized geometry

```
6
Lattice="1.8722 -5.8184 0.0000 1.8722 5.8184 0.0000 0.0000 0.0000 3.6783" Properties=species:S:1:pos:R:3 pbc="T T T"
Al 1.8722 3.9176 1.8391
Al 1.8722 -3.9176 1.8391
Cu 1.8722 1.9497 0.0000
Cu 1.8722 -1.9497 0.0000
Cu 1.8722 0.0000 1.8391
Si 0.0000 0.0000 0.0000
```

* space-group type: Cmmm (65)
* DOS at the Fermi energy: 2.12 states/eV per cell
* energy above the most stable polymorph in this dataset: 0 meV/atom

***

No. 4
AlCuSi2 | PBE-GGA | optimized geometry

```
16
Lattice="-3.5470 1.0184 -3.6942 3.5092 -2.1552 -3.9636 -3.1659 -7.1304 1.0741" Properties=species:S:1:pos:R:3 pbc="T T T"
Si 2.2480 -3.6357 -4.0628
Si -2.9623 -1.3266 -2.1138
Si -3.8780 -5.5980 -4.2983
Si -1.8151 -5.9741 -2.6923
Si -5.4517 -4.6316 -2.5208
Si -0.2414 -6.9406 -4.4698
Si 0.6743 -2.6692 -2.2853
Si -1.3886 -2.2931 -3.8913
Al -2.7417 -8.0765 -4.2177
Al -1.1685 -4.0075 -0.9161
Al -0.4620 -0.1907 -2.3660
Al -2.0352 -4.2597 -5.6675
Cu -0.1653 -4.5156 -3.8728
Cu -2.3604 0.0734 -4.1904
Cu -3.0384 -3.7516 -2.7108
Cu -0.8433 -8.3407 -2.3932
```

* space-group type: Pnma (62)
* DOS at the Fermi energy: 2.47 states/eV per cell

***

Number 1: uncorrected energy -4.372 eV per atom, formation energy without anion corrections 0.300 eV per atom. Number 2: uncorrected energy -4.515 eV per atom, formation energy without anion corrections 0.100 eV per atom. Number 3: uncorrected energy -4.254 eV per atom, formation energy without anion corrections -0.055 eV per atom. Number 4: uncorrected energy -4.533 eV per atom, formation energy without anion corrections 0.138 eV per atom.